No. 1
First-principles (PBE) data for an optimized crystal structure of Tb5Dy3Er4, as listed in the Alexandria database.

Its magnetization is 0.37 μB/f.u. The value obtained for the energy relative to the lowest polymorph listed for this composition is 2.70 eV per formula unit. As for the formation enthalpy at 0 K: 0.243 eV/atom. The calculation puts the density of states at the Fermi level at 38.9 states/eV/cell.

The space group is C2/m (No. 12) and the conventional cell measures 15.9763, 5.8270 and 9.1968 Å, with angles of 90.00, 116.60 and 90.00 degrees. The asymmetric unit holds Tb at (0.0000, 0.0000, 0.0000), Tb at (0.0750, 0.5000, 0.7002), Tb at (0.1735, 0.5000, 0.3865), Dy at (0.0000, 0.5000, 0.0000), Dy at (0.2085, 0.0000, 0.2296), Er at (0.0805, 0.0000, 0.4396) and Er at (0.2133, 0.0000, 0.8778).


No. 2
First-principles (PBE) data for an optimized crystal structure of CaCdW, as listed in the Alexandria database.

Its magnetization is 0.00 μB/f.u. The value obtained for the energy relative to the lowest polymorph listed for this composition is 0.65 eV per formula unit. As for the formation enthalpy at 0 K: 0.795 eV/atom. The calculation puts the density of states at the Fermi level at 4.9 states/eV/cell.

The space group is Imm2 (No. 44) and the conventional cell measures 2.9668, 3.9384 and 11.4274 Å, with angles of 90.00, 90.00 and 90.00 degrees. The asymmetric unit holds Ca at (0.0000, 0.0000, 0.0000), Cd at (0.0000, 0.0000, 0.6907) and W at (0.0000, 0.0000, 0.3193).


No. 3
First-principles (PBE) data for an optimized crystal structure of BaLa2AgRu, as listed in the Alexandria database.

Its magnetization is 0.00 μB/f.u. The value obtained for the energy relative to the lowest polymorph listed for this composition is 0.12 eV per formula unit. As for the formation enthalpy at 0 K: -0.034 eV/atom. The calculation puts the density of states at the Fermi level at 4.7 states/eV/cell.

The space group is P4/mmm (No. 123) and the conventional cell measures 5.3665, 5.3665 and 6.2597 Å, with angles of 90.00, 90.00 and 90.00 degrees. The asymmetric unit holds Ba at (0.0000, 0.0000, 0.0000), La at (0.0000, 0.5000, 0.5000), Ag at (0.5000, 0.5000, 0.0000) and Ru at (0.0000, 0.0000, 0.5000).